[1]
{
  "formula": "YOs2Au",
  "functional": "GGA-PBE",
  "state": "optimized geometry",
  "total_magnetization_mub_per_fu": 0.0,
  "dos_ef_per_ev_atom": 1.160,
  "formation_enthalpy_0k_mev_per_atom": 439,
  "lattice_angstrom": [[1.4608, 0.8434, 9.6436], [-1.4608, 0.8434, 9.6436], [0.0000, -1.6868, 9.6436]],
  "species": ["Y", "Os", "Os", "Au"],
  "fractional_positions": [[0.0000, 0.0000, 0.0000], [0.2428, 0.2428, 0.2428], [0.5076, 0.5076, 0.5076], [0.7574, 0.7574, 0.7574]]
}

[2]
{
  "formula": "LiEuAgPt",
  "functional": "GGA-PBE",
  "state": "optimized geometry",
  "total_magnetization_mub_per_fu": 7.0,
  "dos_ef_per_ev_atom": 2.737,
  "formation_enthalpy_0k_mev_per_atom": -419,
  "lattice_angstrom": [[0.0000, 3.4317, 3.4317], [3.4317, 0.0000, 3.4317], [3.4317, 3.4317, 0.0000]],
  "species": ["Li", "Eu", "Ag", "Pt"],
  "fractional_positions": [[0.0000, 0.0000, 0.0000], [0.2500, 0.2500, 0.2500], [0.7500, 0.7500, 0.7500], [0.5000, 0.5000, 0.5000]]
}

[3]
{
  "formula": "Ac2MgCu3Sn4",
  "functional": "GGA-PBE",
  "state": "optimized geometry",
  "total_magnetization_mub_per_fu": 0.0,
  "dos_ef_per_ev_atom": 0.291,
  "formation_enthalpy_0k_mev_per_atom": -455,
  "lattice_angstrom": [[4.5853, 0.0000, 0.0000], [0.0000, 4.5853, 0.0000], [0.0000, 0.0000, 11.4238]],
  "species": ["Ac", "Ac", "Mg", "Cu", "Cu", "Cu", "Sn", "Sn", "Sn", "Sn"],
  "fractional_positions": [[0.0000, 0.5000, 0.2466], [0.5000, 0.0000, 0.7534], [0.0000, 0.0000, 0.5000], [0.0000, 0.5000, 0.8705], [0.5000, 0.0000, 0.1295], [0.5000, 0.5000, 0.5000], [0.0000, 0.0000, 0.0000], [0.0000, 0.5000, 0.6417], [0.5000, 0.0000, 0.3583], [0.5000, 0.5000, 0.0000]]
}

[4]
{
  "formula": "CaSe2Cl",
  "functional": "GGA-PBE",
  "state": "optimized geometry",
  "dft_energy_ev_per_atom": -3.46,
  "total_magnetization_mub_per_fu": 0.0,
  "dos_ef_per_ev_atom": 0.971,
  "lattice_angstrom": [[1.9189, 1.1079, 9.3861], [-1.9189, 1.1079, 9.3861], [0.0000, -2.2157, 9.3861]],
  "species": ["Ca", "Se", "Se", "Cl"],
  "fractional_positions": [[0.0000, 0.0000, 0.0000], [0.4717, 0.4717, 0.4717], [0.7382, 0.7382, 0.7382], [0.2790, 0.2790, 0.2790]]
}

[5]
{
  "formula": "CeNpO6",
  "functional": "GGA-PBE",
  "state": "optimized geometry",
  "dft_energy_ev_per_atom": -8.57,
  "total_magnetization_mub_per_fu": 0.6,
  "dos_ef_per_ev_atom": 1.303,
  "lattice_angstrom": [[2.9867, 1.7244, 4.8879], [-2.9867, 1.7244, 4.8879], [0.0000, -3.4488, 4.8879]],
  "species": ["Ce", "Np", "O", "O", "O", "O", "O", "O"],
  "fractional_positions": [[0.0000, 0.0000, 0.0000], [0.5000, 0.5000, 0.5000], [0.2593, 0.7350, 0.2692], [0.2650, 0.7308, 0.7407], [0.2692, 0.2593, 0.7350], [0.7308, 0.7407, 0.2650], [0.7350, 0.2692, 0.2593], [0.7407, 0.2650, 0.7308]]
}

[6]
{
  "formula": "Sr3Ni4",
  "functional": "GGA-PBE",
  "state": "optimized geometry",
  "total_magnetization_mub_per_fu": 1.1,
  "dos_ef_per_ev_atom": 0.999,
  "formation_enthalpy_0k_mev_per_atom": 644,
  "lattice_angstrom": [[7.1748, 0.0000, 0.0000], [-3.5874, 6.2136, 0.0000], [0.0000, 0.0000, 4.2634]],
  "species": ["Sr", "Sr", "Sr", "Ni", "Ni", "Ni", "Ni"],
  "fractional_positions": [[0.0000, 0.5000, 0.0000], [0.5000, 0.0000, 0.0000], [0.5000, 0.5000, 0.0000], [0.0000, 0.0000, 0.2499], [0.0000, 0.0000, 0.7501], [0.3333, 0.6667, 0.5000], [0.6667, 0.3333, 0.5000]]
}

[7]
{
  "formula": "KMg2As",
  "functional": "GGA-PBE",
  "state": "optimized geometry",
  "total_magnetization_mub_per_fu": 0.0,
  "dos_ef_per_ev_atom": 0.158,
  "formation_enthalpy_0k_mev_per_atom": -186,
  "lattice_angstrom": [[5.3444, 0.0000, 0.0000], [0.0000, 4.2863, 0.0000], [-1.7390, 0.0000, 5.8024]],
  "species": ["K", "Mg", "Mg", "As"],
  "fractional_positions": [[0.0000, 0.0000, 0.0000], [0.4479, 0.5000, 0.7404], [0.5521, 0.5000, 0.2596], [0.5000, 0.0000, 0.5000]]
}

[8]
{
  "formula": "CeZn10Ni2",
  "functional": "GGA-PBE",
  "state": "optimized geometry",
  "total_magnetization_mub_per_fu": 0.7,
  "dos_ef_per_ev_atom": 0.799,
  "formation_enthalpy_0k_mev_per_atom": -224,
  "lattice_angstrom": [[4.4380, -5.1389, 0.0000], [4.4380, 5.1389, 0.0000], [0.0000, 0.0000, 8.7141]],
  "species": ["Ce", "Ce", "Zn", "Zn", "Zn", "Zn", "Zn", "Zn", "Zn", "Zn", "Zn", "Zn", "Zn", "Zn", "Zn", "Zn", "Zn", "Zn", "Zn", "Zn", "Zn", "Zn", "Ni", "Ni", "Ni", "Ni"],
  "fractional_positions": [[0.1215, 0.8785, 0.7500], [0.8785, 0.1215, 0.2500], [0.1392, 0.4029, 0.7500], [0.1574, 0.8426, 0.1008], [0.1574, 0.8426, 0.3992], [0.2236, 0.4741, 0.2500], [0.2285, 0.2285, 0.0000], [0.2285, 0.2285, 0.5000], [0.3761, 0.6239, 0.5449], [0.3761, 0.6239, 0.9551], [0.4029, 0.1392, 0.2500], [0.4741, 0.2236, 0.7500], [0.5259, 0.7764, 0.2500], [0.5971, 0.8608, 0.7500], [0.6239, 0.3761, 0.0449], [0.6239, 0.3761, 0.4551], [0.7715, 0.7715, 0.0000], [0.7715, 0.7715, 0.5000], [0.7764, 0.5259, 0.7500], [0.8426, 0.1574, 0.6008], [0.8426, 0.1574, 0.8992], [0.8608, 0.5971, 0.2500], [0.0000, 0.5000, 0.0000], [0.0000, 0.5000, 0.5000], [0.5000, 0.0000, 0.0000], [0.5000, 0.0000, 0.5000]]
}

[9]
{
  "formula": "La2CdAg5",
  "functional": "GGA-PBE",
  "state": "optimized geometry",
  "total_magnetization_mub_per_fu": 0.0,
  "dos_ef_per_ev_atom": 0.630,
  "formation_enthalpy_0k_mev_per_atom": -100,
  "lattice_angstrom": [[-3.4900, 3.4900, 3.9686], [3.4900, -3.4900, 3.9686], [3.4900, 3.4900, -3.9686]],
  "species": ["La", "La", "Cd", "Ag", "Ag", "Ag", "Ag", "Ag"],
  "fractional_positions": [[0.0000, 0.5000, 0.5000], [0.5000, 0.0000, 0.5000], [0.0912, 0.0912, 0.0000], [0.4564, 0.4564, 0.0000], [0.5476, 0.5476, 0.5921], [0.5476, 0.9555, 0.0000], [0.9555, 0.5476, 0.0000], [0.9555, 0.9555, 0.4079]]
}

[10]
{
  "formula": "Cs2Na8Hg",
  "functional": "GGA-PBE",
  "state": "optimized geometry",
  "total_magnetization_mub_per_fu": 0.0,
  "dos_ef_per_ev_atom": 0.552,
  "formation_enthalpy_0k_mev_per_atom": -7,
  "lattice_angstrom": [[9.8074, -3.6746, 0.0000], [9.8074, 3.6746, 0.0000], [-2.4313, 0.0000, 6.9570]],
  "species": ["Cs", "Cs", "Na", "Na", "Na", "Na", "Na", "Na", "Na", "Na", "Hg"],
  "fractional_positions": [[0.1795, 0.1795, 0.3518], [0.8205, 0.8205, 0.6482], [0.1690, 0.6782, 0.2581], [0.2669, 0.2669, 0.9443], [0.3218, 0.8310, 0.7419], [0.4272, 0.4272, 0.7856], [0.5728, 0.5728, 0.2144], [0.6782, 0.1690, 0.2581], [0.7331, 0.7331, 0.0557], [0.8310, 0.3218, 0.7419], [0.0000, 0.0000, 0.0000]]
}

[11]
{
  "formula": "CaTePb2",
  "functional": "GGA-PBE",
  "state": "optimized geometry",
  "dft_energy_ev_per_atom": -3.57,
  "total_magnetization_mub_per_fu": 0.0,
  "dos_ef_per_ev_atom": 0.384,
  "lattice_angstrom": [[5.7479, -2.0241, 0.0000], [5.7479, 2.0241, 0.0000], [-1.7634, 0.0000, 5.3052]],
  "species": ["Ca", "Te", "Pb", "Pb"],
  "fractional_positions": [[0.0000, 0.0000, 0.0000], [0.7331, 0.7331, 0.2015], [0.2371, 0.2371, 0.7070], [0.4851, 0.4851, 0.4754]]
}

[12]
{
  "formula": "PmY12Tm2",
  "functional": "GGA-PBE",
  "state": "optimized geometry",
  "total_magnetization_mub_per_fu": 0.0,
  "dos_ef_per_ev_atom": 1.804,
  "formation_enthalpy_0k_mev_per_atom": 85,
  "lattice_angstrom": [[3.4275, -5.4744, 0.0000], [3.4275, 5.4744, 0.0000], [-1.3043, 0.0000, 26.0525]],
  "species": ["Pm", "Pm", "Y", "Y", "Y", "Y", "Y", "Y", "Y", "Y", "Y", "Y", "Y", "Y", "Y", "Y", "Y", "Y", "Y", "Y", "Y", "Y", "Y", "Y", "Y", "Y", "Tm", "Tm", "Tm", "Tm"],
  "fractional_positions": [[0.2494, 0.2494, 0.0003], [0.7506, 0.7506, 0.9997], [0.0321, 0.5397, 0.2000], [0.1326, 0.4910, 0.3352], [0.1618, 0.1618, 0.4471], [0.1858, 0.5287, 0.5530], [0.1912, 0.1912, 0.6481], [0.2274, 0.2274, 0.8716], [0.2383, 0.7373, 0.9279], [0.2627, 0.7617, 0.0721], [0.2715, 0.2715, 0.1286], [0.4603, 0.9679, 0.8000], [0.4713, 0.8142, 0.4470], [0.4910, 0.1326, 0.3352], [0.5090, 0.8674, 0.6648], [0.5287, 0.1858, 0.5530], [0.5397, 0.0321, 0.2000], [0.7285, 0.7285, 0.8714], [0.7373, 0.2383, 0.9279], [0.7617, 0.2627, 0.0721], [0.7726, 0.7726, 0.1284], [0.8088, 0.8088, 0.3519], [0.8142, 0.4713, 0.4470], [0.8382, 0.8382, 0.5529], [0.8674, 0.5090, 0.6648], [0.9679, 0.4603, 0.8000], [0.0507, 0.0507, 0.2449], [0.4628, 0.4628, 0.7568], [0.5372, 0.5372, 0.2432], [0.9493, 0.9493, 0.7551]]
}